No. 1
# SrZnGaCu3 (PBE-GGA, relaxed)
# **N(E_F)**: 9.82 states/eV per cell
# **Crystal system**: orthorhombic
# **V**: 19.335 A^3/atom
# **Density**: 5.92 g/cm³
# **Energy**: -3.07 eV per atom
# **Total moment**: 0.00 μB per formula unit
data_SrZnGaCu3
_chemical_formula_sum 'Sr4 Zn4 Ga4 Cu12'
_cell_length_a 6.310
_cell_length_b 12.256
_cell_length_c 6.000
_cell_angle_alpha 90.00
_cell_angle_beta 90.00
_cell_angle_gamma 90.00
_space_group_name_H-M_alt 'C m c m'
_space_group_IT_number 63
_space_group_name_Hall '-C 2c 2'
loop_
_atom_site_label
_atom_site_fract_x
_atom_site_fract_y
_atom_site_fract_z
Sr1 0.000 0.217 0.250
Zn1 0.000 0.130 0.750
Ga1 0.000 0.471 0.250
Cu1 0.000 0.333 0.750
Cu2 0.198 0.000 0.000

No. 2
# SrZn2GaCu4 (PBE-GGA, relaxed)
# **N(E_F)**: 16.06 states/eV per cell
# **Crystal system**: trigonal
# **V**: 17.310 A^3/atom
# **Density**: 6.50 g/cm³
# **Energy**: -3.02 eV per atom
# **Total moment**: 0.00 μB per formula unit
data_SrZn2GaCu4
_chemical_formula_sum 'Sr3 Zn6 Ga3 Cu12'
_cell_length_a 4.2149
_cell_length_b 4.2149
_cell_length_c 27.0014
_cell_angle_alpha 90.00
_cell_angle_beta 90.00
_cell_angle_gamma 120.00
_space_group_name_H-M_alt 'R -3 m'
_space_group_IT_number 166
_space_group_name_Hall '-R 3 2"'
loop_
_atom_site_label
_atom_site_fract_x
_atom_site_fract_y
_atom_site_fract_z
Sr1 0.0000 0.0000 0.0000
Zn1 0.0000 0.0000 0.2392
Ga1 0.0000 0.0000 0.5000
Cu1 0.0000 0.0000 0.1303
Cu2 0.0000 0.0000 0.4115

No. 3
# SrZnGa4Cu2 (PBE-GGA, relaxed)
# **N(E_F)**: 7.81 states/eV per cell
# **Crystal system**: trigonal
# **V**: 18.888 A^3/atom
# **Density**: 6.14 g/cm³
# **Energy**: -3.07 eV per atom
# **Total moment**: 0.00 μB per formula unit
data_SrZnGa4Cu2
_chemical_formula_sum 'Sr3 Zn3 Ga12 Cu6'
_cell_length_a 4.2939
_cell_length_b 4.2939
_cell_length_c 28.3903
_cell_angle_alpha 90.00
_cell_angle_beta 90.00
_cell_angle_gamma 120.00
_space_group_name_H-M_alt 'R -3 m'
_space_group_IT_number 166
_space_group_name_Hall '-R 3 2"'
loop_
_atom_site_label
_atom_site_fract_x
_atom_site_fract_y
_atom_site_fract_z
Sr1 0.0000 0.0000 0.0000
Zn1 0.0000 0.0000 0.5000
Ga1 0.0000 0.0000 0.1228
Ga2 0.0000 0.0000 0.4060
Cu1 0.0000 0.0000 0.2277

No. 4
# Sr2ZnGa3Cu12 (PBE-GGA, relaxed)
# **N(E_F)**: 24.72 states/eV per cell
# **Crystal system**: trigonal
# **V**: 19.972 A^3/atom
# **Density**: 5.60 g/cm³
# **Energy**: -3.29 eV per atom
# **Total moment**: 0.00 μB per formula unit
data_Sr2ZnGa3Cu12
_chemical_formula_sum 'Sr6 Zn3 Ga9 Cu36'
_cell_length_a 8.1175
_cell_length_b 8.1175
_cell_length_c 18.8988
_cell_angle_alpha 90.00
_cell_angle_beta 90.00
_cell_angle_gamma 120.00
_space_group_name_H-M_alt 'R -3 m'
_space_group_IT_number 166
_space_group_name_Hall '-R 3 2"'
loop_
_atom_site_label
_atom_site_fract_x
_atom_site_fract_y
_atom_site_fract_z
Sr1 0.0000 0.0000 0.1010
Zn1 0.0000 0.0000 0.5000
Ga1 0.0000 0.5000 0.0000
Cu1 0.0136 0.5068 0.1335
Cu2 0.1047 0.2095 0.7398

No. 5
# SrZnGa2Cu (PBE-GGA, relaxed)
# **N(E_F)**: 3.56 states/eV per cell
# **Crystal system**: tetragonal
# **V**: 20.179 A^3/atom
# **Density**: 5.86 g/cm³
# **Energy**: -2.94 eV per atom
# **Total moment**: 0.00 μB per formula unit
data_SrZnGa2Cu
_chemical_formula_sum 'Sr2 Zn2 Ga4 Cu2'
_cell_length_a 4.344
_cell_length_b 4.344
_cell_length_c 10.693
_cell_angle_alpha 90.00
_cell_angle_beta 90.00
_cell_angle_gamma 90.00
_space_group_name_H-M_alt 'I -4 m 2'
_space_group_IT_number 119
_space_group_name_Hall 'I -4 -2'
loop_
_atom_site_label
_atom_site_fract_x
_atom_site_fract_y
_atom_site_fract_z
Sr1 0.000 0.000 0.000
Zn1 0.000 0.500 0.250
Ga1 0.000 0.000 0.375
Cu1 0.000 0.500 0.750

No. 6
# Sr2Zn3GaCu4 (PBE-GGA, relaxed)
# **N(E_F)**: 4.11 states/eV per cell
# **Crystal system**: tetragonal
# **V**: 19.400 A^3/atom
# **Density**: 5.95 g/cm³
# **Energy**: -2.84 eV per atom
# **Total moment**: 0.00 μB per formula unit
data_Sr2Zn3GaCu4
_chemical_formula_sum 'Sr2 Zn3 Ga1 Cu4'
_cell_length_a 4.422
_cell_length_b 4.422
_cell_length_c 9.920
_cell_angle_alpha 90.00
_cell_angle_beta 90.00
_cell_angle_gamma 90.00
_space_group_name_H-M_alt 'P -4 m 2'
_space_group_IT_number 115
loop_
_space_group_symop_operation_xyz
'x,y,z'
'y,-x,-z'
'-x,-y,z'
'-y,x,-z'
'-x,y,z'
'-y,-x,-z'
'x,-y,z'
'y,x,-z'
loop_
_atom_site_label
_atom_site_fract_x
_atom_site_fract_y
_atom_site_fract_z
Sr1 0.000 0.500 0.245
Zn1 0.000 0.500 0.879
Zn2 0.500 0.500 0.500
Ga1 0.000 0.000 0.500
Cu1 0.000 0.000 0.000
Cu2 0.000 0.500 0.624
Cu3 0.500 0.500 0.000

No. 7
# Sr2ZnGa2Cu (PBE-GGA, relaxed)
# **N(E_F)**: 15.30 states/eV per cell
# **Crystal system**: orthorhombic
# **V**: 24.459 A^3/atom
# **Density**: 5.02 g/cm³
# **Energy**: -2.78 eV per atom
# **Total moment**: 0.00 μB per formula unit
data_Sr2ZnGa2Cu
_chemical_formula_sum 'Sr8 Zn4 Ga8 Cu4'
_cell_length_a 6.352
_cell_length_b 14.485
_cell_length_c 6.379
_cell_angle_alpha 90.00
_cell_angle_beta 90.00
_cell_angle_gamma 90.00
_space_group_name_H-M_alt 'I b a m'
_space_group_IT_number 72
_space_group_name_Hall '-I 2 2c'
loop_
_atom_site_label
_atom_site_fract_x
_atom_site_fract_y
_atom_site_fract_z
Sr1 0.248 0.162 0.000
Zn1 0.000 0.000 0.250
Ga1 0.239 0.408 0.000
Cu1 0.000 0.500 0.250

No. 8
# SrZnGaCu (PBE-GGA, relaxed)
# **N(E_F)**: 4.92 states/eV per cell
# **Crystal system**: monoclinic
# **V**: 22.480 A^3/atom
# **Density**: 5.29 g/cm³
# **Energy**: -2.78 eV per atom
# **Total moment**: 0.00 μB per formula unit
data_SrZnGaCu
_chemical_formula_sum 'Sr2 Zn2 Ga2 Cu2'
_cell_length_a 7.500
_cell_length_b 4.343
_cell_length_c 6.068
_cell_angle_alpha 90.00
_cell_angle_beta 114.53
_cell_angle_gamma 90.00
_space_group_name_H-M_alt 'C 1 m 1'
_space_group_IT_number 8
loop_
_space_group_symop_operation_xyz
'x,y,z'
'x,-y,z'
'x+1/2,y+1/2,z'
'x+1/2,-y+1/2,z'
loop_
_atom_site_label
_atom_site_fract_x
_atom_site_fract_y
_atom_site_fract_z
Sr1 0.000 0.000 0.000
Zn1 0.017 0.500 0.551
Ga1 0.303 0.500 0.409
Cu1 0.191 0.000 0.573

No. 9
# SrZn2Ga4Cu (PBE-GGA, relaxed)
# **N(E_F)**: 8.56 states/eV per cell
# **Crystal system**: trigonal
# **V**: 19.519 A^3/atom
# **Density**: 5.96 g/cm³
# **Energy**: -2.71 eV per atom
# **Total moment**: 0.00 μB per formula unit
data_SrZn2Ga4Cu
_chemical_formula_sum 'Sr3 Zn6 Ga12 Cu3'
_cell_length_a 4.3983
_cell_length_b 4.3983
_cell_length_c 27.9624
_cell_angle_alpha 90.00
_cell_angle_beta 90.00
_cell_angle_gamma 120.00
_space_group_name_H-M_alt 'R -3 m'
_space_group_IT_number 166
_space_group_name_Hall '-R 3 2"'
loop_
_atom_site_label
_atom_site_fract_x
_atom_site_fract_y
_atom_site_fract_z
Sr1 0.0000 0.0000 0.0000
Zn1 0.0000 0.0000 0.2450
Ga1 0.0000 0.0000 0.1359
Ga2 0.0000 0.0000 0.4069
Cu1 0.0000 0.0000 0.5000

No. 10
# SrZn2GaCu (PBE-GGA, relaxed)
# **N(E_F)**: 1.94 states/eV per cell
# **Crystal system**: tetragonal
# **V**: 21.537 A^3/atom
# **Energy above the most stable polymorph in this dataset**: 135 meV/atom
# **Density**: 5.42 g/cm³
# **Energy**: -2.38 eV per atom
# **Total moment**: 0.00 μB per formula unit
data_SrZn2GaCu
_chemical_formula_sum 'Sr1 Zn2 Ga1 Cu1'
_cell_length_a 4.771
_cell_length_b 4.771
_cell_length_c 4.731
_cell_angle_alpha 90.00
_cell_angle_beta 90.00
_cell_angle_gamma 90.00
_space_group_name_H-M_alt 'P 4/m m m'
_space_group_IT_number 123
_space_group_name_Hall '-P 4 2'
loop_
_atom_site_label
_atom_site_fract_x
_atom_site_fract_y
_atom_site_fract_z
Sr1 0.000 0.000 0.000
Zn1 0.000 0.500 0.500
Ga1 0.500 0.500 0.000
Cu1 0.500 0.500 0.500

No. 11
# Sr2ZnGaCu6 (PBE-GGA, relaxed)
# **N(E_F)**: 13.76 states/eV per cell
# **Crystal system**: cubic
# **V**: 20.481 A^3/atom
# **Density**: 5.61 g/cm³
# **Energy**: -3.13 eV per atom
# **Total moment**: 0.00 μB per formula unit
data_Sr2ZnGaCu6
_chemical_formula_sum 'Sr8 Zn4 Ga4 Cu24'
_cell_length_a 9.357
_cell_length_b 9.357
_cell_length_c 9.357
_cell_angle_alpha 90.00
_cell_angle_beta 90.00
_cell_angle_gamma 90.00
_space_group_name_H-M_alt 'F m -3 m'
_space_group_IT_number 225
_space_group_name_Hall '-F 4 2 3'
loop_
_atom_site_label
_atom_site_fract_x
_atom_site_fract_y
_atom_site_fract_z
Sr1 0.250 0.250 0.250
Zn1 0.000 0.000 0.000
Ga1 0.000 0.000 0.500
Cu1 0.000 0.000 0.249

No. 12
# SrZn2GaCu2 (PBE-GGA, relaxed)
# **N(E_F)**: 1.94 states/eV per cell
# **Crystal system**: tetragonal
# **V**: 20.423 A^3/atom
# **Density**: 5.63 g/cm³
# **Energy**: -2.59 eV per atom
# **Total moment**: 0.00 μB per formula unit
data_SrZn2GaCu2
_chemical_formula_sum 'Sr1 Zn2 Ga1 Cu2'
_cell_length_a 4.544
_cell_length_b 4.544
_cell_length_c 5.934
_cell_angle_alpha 90.00
_cell_angle_beta 90.00
_cell_angle_gamma 90.00
_space_group_name_H-M_alt 'P 4/m m m'
_space_group_IT_number 123
_space_group_name_Hall '-P 4 2'
loop_
_atom_site_label
_atom_site_fract_x
_atom_site_fract_y
_atom_site_fract_z
Sr1 0.000 0.000 0.000
Zn1 0.500 0.500 0.246
Ga1 0.000 0.000 0.500
Cu1 0.000 0.500 0.500

ΔH_f (0 K) list, top to bottom, in meV/atom: -22.9, -62.6, -166.3, 199.9, -317.0, -176.8, -318.7, -255.9, -157.8, -111.3, 96.2, -14.7